[1]
# Li32Mn13Cr3O48 (GGA+U, relaxed)
data_Li32Mn13Cr3O48
_cell_length_a 4.995
_cell_length_b 8.679
_cell_length_c 19.458
_cell_angle_alpha 81.84
_cell_angle_beta 85.35
_cell_angle_gamma 89.82
_space_group_name_H-M_alt 'P 1'
_space_group_IT_number 1
loop_
_space_group_symop_operation_xyz
'x,y,z'
loop_
_atom_site_label
_atom_site_fract_x
_atom_site_fract_y
_atom_site_fract_z
_atom_site_occupancy
Li1 0.000 0.000 0.000 1
Li2 0.000 0.001 0.500 1
Li3 0.013 0.331 0.499 1
Li4 0.014 0.330 0.000 1
Li5 0.016 0.658 0.000 1
Li6 0.018 0.659 0.501 1
Li7 0.132 0.457 0.624 1
Li8 0.136 0.455 0.124 1
Li9 0.248 0.245 0.751 1
Li10 0.254 0.249 0.249 1
Li11 0.260 0.581 0.249 1
Li12 0.264 0.580 0.749 1
Li13 0.271 0.912 0.249 1
Li14 0.276 0.918 0.748 1
Li15 0.383 0.705 0.374 1
Li16 0.391 0.704 0.875 1
Li17 0.505 0.836 0.500 1
Li18 0.506 0.502 0.998 1
Li19 0.507 0.503 0.498 1
Li20 0.512 0.830 0.999 1
Li21 0.521 0.161 0.999 1
Li22 0.522 0.161 0.499 1
Li23 0.634 0.957 0.624 1
Li24 0.636 0.955 0.124 1
Li25 0.749 0.751 0.749 1
Li26 0.757 0.750 0.248 1
Li27 0.762 0.082 0.750 1
Li28 0.763 0.082 0.249 1
Li29 0.770 0.411 0.249 1
Li30 0.772 0.410 0.750 1
Li31 0.886 0.205 0.374 1
Li32 0.888 0.205 0.874 1
Mn1 0.133 0.121 0.625 1
Mn2 0.136 0.789 0.124 1
Mn3 0.136 0.790 0.624 1
Mn4 0.137 0.122 0.124 1
Mn5 0.384 0.042 0.375 1
Mn6 0.387 0.372 0.874 1
Mn7 0.389 0.041 0.873 1
Mn8 0.389 0.372 0.374 1
Mn9 0.636 0.289 0.124 1
Mn10 0.637 0.622 0.124 1
Mn11 0.639 0.625 0.623 1
Mn12 0.884 0.537 0.875 1
Mn13 0.889 0.538 0.374 1
Cr1 0.628 0.292 0.624 1
Cr2 0.882 0.870 0.374 1
Cr3 0.895 0.870 0.874 1
O1 0.042 0.724 0.818 1
O2 0.049 0.720 0.317 1
O3 0.086 0.045 0.319 1
O4 0.086 0.401 0.317 1
O5 0.086 0.403 0.817 1
O6 0.089 0.048 0.817 1
O7 0.189 0.868 0.930 1
O8 0.189 0.869 0.430 1
O9 0.190 0.507 0.931 1
O10 0.192 0.508 0.431 1
O11 0.226 0.190 0.430 1
O12 0.228 0.189 0.929 1
O13 0.295 0.975 0.569 1
O14 0.297 0.973 0.068 1
O15 0.333 0.293 0.568 1
O16 0.333 0.295 0.068 1
O17 0.333 0.653 0.067 1
O18 0.334 0.654 0.567 1
O19 0.433 0.115 0.680 1
O20 0.440 0.116 0.180 1
O21 0.440 0.758 0.181 1
O22 0.440 0.759 0.681 1
O23 0.475 0.437 0.180 1
O24 0.483 0.439 0.680 1
O25 0.547 0.224 0.319 1
O26 0.550 0.225 0.818 1
O27 0.582 0.544 0.819 1
O28 0.583 0.544 0.319 1
O29 0.584 0.904 0.817 1
O30 0.588 0.907 0.317 1
O31 0.683 0.012 0.432 1
O32 0.689 0.365 0.930 1
O33 0.690 0.008 0.931 1
O34 0.690 0.367 0.430 1
O35 0.725 0.683 0.931 1
O36 0.730 0.689 0.430 1
O37 0.797 0.473 0.068 1
O38 0.798 0.480 0.567 1
O39 0.832 0.795 0.068 1
O40 0.832 0.797 0.568 1
O41 0.834 0.153 0.067 1
O42 0.835 0.155 0.567 1
O43 0.939 0.258 0.181 1
O44 0.939 0.617 0.680 1
O45 0.940 0.258 0.681 1
O46 0.940 0.616 0.180 1
O47 0.974 0.939 0.680 1
O48 0.975 0.938 0.180 1
# Calculated density (g cm⁻³): 3.71
# Total moment (Bohr magnetons per cell): 16.88
# Offset from the most stable computed form (eV/f.u.): 4.73

[2]
# Li24Mn11CrO36 (GGA+U, relaxed)
data_Li24Mn11CrO36
_cell_length_a 8.690
_cell_length_b 8.690
_cell_length_c 10.188
_cell_angle_alpha 106.89
_cell_angle_beta 106.89
_cell_angle_gamma 59.99
_space_group_name_H-M_alt 'P 1'
_space_group_IT_number 1
loop_
_space_group_symop_operation_xyz
'x,y,z'
loop_
_atom_site_label
_atom_site_fract_x
_atom_site_fract_y
_atom_site_fract_z
_atom_site_occupancy
Li1 0.000 0.000 0.000 1
Li2 0.000 0.000 0.500 1
Li3 0.159 0.840 0.250 1
Li4 0.160 0.841 0.750 1
Li5 0.167 0.167 0.249 1
Li6 0.167 0.167 0.750 1
Li7 0.170 0.497 0.249 1
Li8 0.175 0.493 0.751 1
Li9 0.334 0.334 0.000 1
Li10 0.334 0.334 0.501 1
Li11 0.493 0.173 0.250 1
Li12 0.497 0.171 0.750 1
Li13 0.500 0.499 0.250 1
Li14 0.501 0.500 0.750 1
Li15 0.503 0.830 0.751 1
Li16 0.507 0.825 0.249 1
Li17 0.666 0.666 0.000 1
Li18 0.666 0.666 0.499 1
Li19 0.827 0.507 0.750 1
Li20 0.829 0.503 0.250 1
Li21 0.833 0.833 0.250 1
Li22 0.833 0.833 0.751 1
Li23 0.839 0.160 0.750 1
Li24 0.840 0.161 0.250 1
Mn1 0.000 0.333 0.500 1
Mn2 0.000 0.334 0.000 1
Mn3 0.000 0.666 0.501 1
Mn4 0.000 0.667 0.001 1
Mn5 0.333 0.000 0.999 1
Mn6 0.333 0.667 0.500 1
Mn7 0.334 0.000 0.499 1
Mn8 0.666 0.000 0.000 1
Mn9 0.667 0.000 0.500 1
Mn10 0.667 0.333 0.000 1
Mn11 0.667 0.333 0.500 1
Cr1 0.335 0.665 0.000 1
O1 0.068 0.429 0.888 1
O2 0.070 0.427 0.389 1
O3 0.073 0.741 0.882 1
O4 0.093 0.094 0.386 1
O5 0.093 0.737 0.390 1
O6 0.094 0.095 0.885 1
O7 0.227 0.594 0.120 1
O8 0.239 0.244 0.113 1
O9 0.240 0.239 0.613 1
O10 0.240 0.597 0.613 1
O11 0.259 0.927 0.118 1
O12 0.263 0.907 0.610 1
O13 0.403 0.760 0.387 1
O14 0.406 0.773 0.880 1
O15 0.427 0.427 0.387 1
O16 0.428 0.070 0.388 1
O17 0.428 0.074 0.889 1
O18 0.439 0.408 0.878 1
O19 0.571 0.932 0.112 1
O20 0.573 0.573 0.613 1
O21 0.573 0.930 0.611 1
O22 0.592 0.561 0.122 1
O23 0.598 0.238 0.611 1
O24 0.599 0.239 0.113 1
O25 0.737 0.094 0.388 1
O26 0.740 0.090 0.889 1
O27 0.756 0.761 0.887 1
O28 0.761 0.401 0.887 1
O29 0.761 0.760 0.387 1
O30 0.762 0.402 0.389 1
O31 0.905 0.906 0.115 1
O32 0.906 0.263 0.612 1
O33 0.906 0.907 0.614 1
O34 0.910 0.260 0.111 1
O35 0.926 0.572 0.111 1
O36 0.930 0.572 0.612 1
# Calculated density (g cm⁻³): 3.70
# Total moment (Bohr magnetons per cell): 34.91
# Offset from the most stable computed form (eV/f.u.): 0.00

[3]
# Li24Mn11CrO36 (GGA+U, relaxed)
data_Li24Mn11CrO36
_cell_length_a 8.681
_cell_length_b 8.681
_cell_length_c 9.734
_cell_angle_alpha 98.21
_cell_angle_beta 98.21
_cell_angle_gamma 59.83
_space_group_name_H-M_alt 'P 1'
_space_group_IT_number 1
loop_
_space_group_symop_operation_xyz
'x,y,z'
loop_
_atom_site_label
_atom_site_fract_x
_atom_site_fract_y
_atom_site_fract_z
_atom_site_occupancy
Li1 0.000 0.000 0.000 1
Li2 0.076 0.758 0.752 1
Li3 0.085 0.083 0.750 1
Li4 0.090 0.411 0.750 1
Li5 0.167 0.165 0.501 1
Li6 0.242 0.924 0.248 1
Li7 0.251 0.249 0.249 1
Li8 0.253 0.575 0.247 1
Li9 0.334 0.333 0.000 1
Li10 0.411 0.087 0.749 1
Li11 0.416 0.416 0.752 1
Li12 0.425 0.747 0.753 1
Li13 0.502 0.498 0.500 1
Li14 0.578 0.255 0.249 1
Li15 0.584 0.584 0.248 1
Li16 0.589 0.910 0.250 1
Li17 0.667 0.666 0.000 1
Li18 0.745 0.422 0.751 1
Li19 0.751 0.749 0.751 1
Li20 0.756 0.079 0.750 1
Li21 0.835 0.833 0.499 1
Li22 0.913 0.589 0.251 1
Li23 0.917 0.915 0.250 1
Li24 0.921 0.244 0.250 1
Mn1 0.000 0.333 0.000 1
Mn2 0.001 0.666 0.000 1
Mn3 0.165 0.498 0.499 1
Mn4 0.333 0.667 0.000 1
Mn5 0.334 0.999 0.000 1
Mn6 0.501 0.166 0.500 1
Mn7 0.502 0.835 0.501 1
Mn8 0.667 0.000 0.000 1
Mn9 0.667 0.333 0.000 1
Mn10 0.833 0.167 0.500 1
Mn11 0.834 0.499 0.500 1
Cr1 0.172 0.828 0.500 1
O1 0.034 0.034 0.386 1
O2 0.036 0.390 0.388 1
O3 0.060 0.698 0.386 1
O4 0.108 0.464 0.112 1
O5 0.131 0.774 0.112 1
O6 0.132 0.131 0.114 1
O7 0.202 0.202 0.886 1
O8 0.202 0.559 0.888 1
O9 0.226 0.869 0.888 1
O10 0.270 0.633 0.611 1
O11 0.299 0.298 0.614 1
O12 0.302 0.940 0.614 1
O13 0.367 0.730 0.389 1
O14 0.369 0.368 0.386 1
O15 0.394 0.035 0.388 1
O16 0.441 0.798 0.112 1
O17 0.465 0.107 0.112 1
O18 0.465 0.465 0.114 1
O19 0.535 0.535 0.886 1
O20 0.536 0.892 0.888 1
O21 0.560 0.202 0.888 1
O22 0.610 0.964 0.612 1
O23 0.631 0.275 0.612 1
O24 0.632 0.631 0.614 1
O25 0.702 0.059 0.388 1
O26 0.702 0.701 0.386 1
O27 0.725 0.369 0.388 1
O28 0.774 0.131 0.112 1
O29 0.798 0.440 0.112 1
O30 0.798 0.798 0.114 1
O31 0.869 0.226 0.888 1
O32 0.869 0.868 0.886 1
O33 0.893 0.535 0.888 1
O34 0.941 0.298 0.612 1
O35 0.965 0.606 0.612 1
O36 0.966 0.966 0.614 1
# Calculated density (g cm⁻³): 3.71
# Total moment (Bohr magnetons per cell): 34.99
# Offset from the most stable computed form (eV/f.u.): 48.33

[4]
# Li24Mn11CrO36 (GGA+U, relaxed)
data_Li24Mn11CrO36
_cell_length_a 5.016
_cell_length_b 10.572
_cell_length_c 13.028
_cell_angle_alpha 112.75
_cell_angle_beta 97.06
_cell_angle_gamma 94.91
_space_group_name_H-M_alt 'P 1'
_space_group_IT_number 1
loop_
_space_group_symop_operation_xyz
'x,y,z'
loop_
_atom_site_label
_atom_site_fract_x
_atom_site_fract_y
_atom_site_fract_z
_atom_site_occupancy
Li1 0.000 0.000 0.000 1
Li2 0.000 0.000 0.500 1
Li3 0.000 0.500 0.250 1
Li4 0.003 0.502 0.750 1
Li5 0.113 0.726 0.976 1
Li6 0.115 0.726 0.475 1
Li7 0.216 0.939 0.690 1
Li8 0.220 0.941 0.190 1
Li9 0.331 0.166 0.918 1
Li10 0.333 0.167 0.416 1
Li11 0.333 0.667 0.166 1
Li12 0.333 0.667 0.666 1
Li13 0.441 0.395 0.642 1
Li14 0.447 0.393 0.143 1
Li15 0.554 0.607 0.357 1
Li16 0.554 0.608 0.857 1
Li17 0.667 0.334 0.333 1
Li18 0.667 0.833 0.583 1
Li19 0.667 0.834 0.083 1
Li20 0.668 0.335 0.835 1
Li21 0.777 0.059 0.308 1
Li22 0.785 0.058 0.810 1
Li23 0.887 0.274 0.024 1
Li24 0.890 0.274 0.523 1
Mn1 0.111 0.222 0.222 1
Mn2 0.111 0.223 0.722 1
Mn3 0.222 0.445 0.444 1
Mn4 0.222 0.445 0.945 1
Mn5 0.444 0.889 0.388 1
Mn6 0.444 0.889 0.888 1
Mn7 0.556 0.112 0.111 1
Mn8 0.778 0.555 0.555 1
Mn9 0.778 0.556 0.055 1
Mn10 0.889 0.778 0.278 1
Mn11 0.889 0.778 0.778 1
Cr1 0.557 0.114 0.613 1
O1 0.022 0.258 0.871 1
O2 0.023 0.258 0.371 1
O3 0.094 0.473 0.085 1
O4 0.094 0.473 0.585 1
O5 0.120 0.956 0.343 1
O6 0.120 0.956 0.843 1
O7 0.213 0.711 0.323 1
O8 0.213 0.711 0.823 1
O9 0.234 0.196 0.582 1
O10 0.239 0.194 0.081 1
O11 0.310 0.409 0.295 1
O12 0.311 0.410 0.795 1
O13 0.357 0.924 0.038 1
O14 0.360 0.924 0.538 1
O15 0.426 0.138 0.749 1
O16 0.427 0.140 0.251 1
O17 0.454 0.622 0.010 1
O18 0.454 0.622 0.510 1
O19 0.546 0.378 0.489 1
O20 0.546 0.378 0.989 1
O21 0.573 0.860 0.248 1
O22 0.573 0.861 0.748 1
O23 0.640 0.076 0.462 1
O24 0.643 0.076 0.962 1
O25 0.690 0.591 0.204 1
O26 0.690 0.591 0.704 1
O27 0.761 0.807 0.418 1
O28 0.761 0.807 0.918 1
O29 0.786 0.287 0.675 1
O30 0.787 0.289 0.177 1
O31 0.880 0.045 0.156 1
O32 0.886 0.045 0.658 1
O33 0.906 0.527 0.415 1
O34 0.906 0.527 0.914 1
O35 0.976 0.743 0.128 1
O36 0.977 0.743 0.628 1
# Calculated density (g cm⁻³): 3.71
# Total moment (Bohr magnetons per cell): 34.99
# Offset from the most stable computed form (eV/f.u.): 48.33

[5]
# Li4Mn3Cr2O10 (GGA+U, relaxed)
data_Li4Mn3Cr2O10
_cell_length_a 5.128
_cell_length_b 5.246
_cell_length_c 7.796
_cell_angle_alpha 108.46
_cell_angle_beta 101.33
_cell_angle_gamma 101.31
_space_group_name_H-M_alt 'P 1'
_space_group_IT_number 1
loop_
_space_group_symop_operation_xyz
'x,y,z'
loop_
_atom_site_label
_atom_site_fract_x
_atom_site_fract_y
_atom_site_fract_z
_atom_site_occupancy
Li1 0.000 0.000 0.000 1
Li2 0.106 0.241 0.723 1
Li3 0.297 0.585 0.080 1
Li4 0.729 0.480 0.944 1
Mn1 0.189 0.399 0.382 1
Mn2 0.495 0.012 0.485 1
Mn3 0.799 0.621 0.589 1
Cr1 0.392 0.814 0.793 1
Cr2 0.601 0.207 0.178 1
O1 0.031 0.627 0.820 1
O2 0.173 0.783 0.531 1
O3 0.272 0.050 0.262 1
O4 0.373 0.197 0.938 1
O5 0.414 0.417 0.625 1
O6 0.529 0.579 0.343 1
O7 0.613 0.830 0.030 1
O8 0.727 0.977 0.707 1
O9 0.837 0.250 0.442 1
O10 0.967 0.381 0.152 1
# Calculated density (g cm⁻³): 4.05
# Total moment (Bohr magnetons per cell): 17.00
# Offset from the most stable computed form (eV/f.u.): 0.00

[6]
# Li5MnCr3O8 (GGA+U, relaxed)
data_Li5MnCr3O8
_cell_length_a 6.016
_cell_length_b 6.016
_cell_length_c 9.968
_cell_angle_alpha 90.00
_cell_angle_beta 90.00
_cell_angle_gamma 120.00
_space_group_name_H-M_alt 'P 1'
_space_group_IT_number 1
loop_
_space_group_symop_operation_xyz
'x,y,z'
loop_
_atom_site_label
_atom_site_fract_x
_atom_site_fract_y
_atom_site_fract_z
_atom_site_occupancy
Li1 0.000 0.000 0.000 1
Li2 0.000 0.000 0.500 1
Li3 0.197 0.393 0.424 1
Li4 0.197 0.803 0.424 1
Li5 0.333 0.667 0.210 1
Li6 0.393 0.197 0.924 1
Li7 0.607 0.803 0.424 1
Li8 0.667 0.333 0.710 1
Li9 0.803 0.197 0.924 1
Li10 0.803 0.607 0.924 1
Mn1 0.333 0.667 0.961 1
Mn2 0.667 0.333 0.461 1
Cr1 0.168 0.335 0.699 1
Cr2 0.168 0.832 0.699 1
Cr3 0.335 0.168 0.199 1
Cr4 0.665 0.832 0.699 1
Cr5 0.832 0.168 0.199 1
Cr6 0.832 0.665 0.199 1
O1 0.000 0.000 0.310 1
O2 0.000 0.000 0.810 1
O3 0.012 0.506 0.814 1
O4 0.159 0.317 0.085 1
O5 0.159 0.841 0.085 1
O6 0.317 0.159 0.585 1
O7 0.333 0.667 0.585 1
O8 0.494 0.506 0.814 1
O9 0.494 0.988 0.814 1
O10 0.506 0.012 0.314 1
O11 0.506 0.494 0.314 1
O12 0.667 0.333 0.085 1
O13 0.683 0.841 0.085 1
O14 0.841 0.159 0.585 1
O15 0.841 0.683 0.585 1
O16 0.988 0.494 0.314 1
# Calculated density (g cm⁻³): 3.97
# Total moment (Bohr magnetons per cell): 28.00
# Offset from the most stable computed form (eV/f.u.): 0.01

[7]
# LiMn2Cr2O8 (GGA+U, relaxed)
data_LiMn2Cr2O8
_cell_length_a 5.779
_cell_length_b 5.835
_cell_length_c 5.886
_cell_angle_alpha 60.72
_cell_angle_beta 61.71
_cell_angle_gamma 60.87
_space_group_name_H-M_alt 'P 1'
_space_group_IT_number 1
loop_
_space_group_symop_operation_xyz
'x,y,z'
loop_
_atom_site_label
_atom_site_fract_x
_atom_site_fract_y
_atom_site_fract_z
_atom_site_occupancy
Li1 0.000 0.000 0.000 1
Mn1 0.000 0.500 0.500 1
Mn2 0.500 0.500 0.500 1
Cr1 0.500 0.000 0.500 1
Cr2 0.500 0.500 0.000 1
O1 0.258 0.707 0.268 1
O2 0.259 0.260 0.280 1
O3 0.262 0.265 0.710 1
O4 0.293 0.742 0.723 1
O5 0.707 0.258 0.277 1
O6 0.738 0.735 0.290 1
O7 0.741 0.740 0.720 1
O8 0.742 0.293 0.732 1
# Calculated density (g cm⁻³): 4.03
# Total moment (Bohr magnetons per cell): 11.00
# Uncorrected energy (eV per atom): -7.068